A relaxed structure of ZnTeSeBr2, computed with PBE.

POSCAR file:
```
ZnTeSeBr2
1.0
-2.810 0.854 3.984
0.835 -4.616 1.578
4.335 1.705 2.692
Zn Te Se Br
1 1 1 2
direct
0.000 0.000 0.000
0.500 0.500 0.500
0.000 0.000 0.500
0.000 0.500 0.000
0.500 0.000 0.000
```

Output
VASP energy ... -2.1682 eV per atom
Formation energy (no corrections) ... 81.0 meV per atom
Offset from the most stable computed form ... 0.000 eV per atom